Record 1
MgTcNiSn: relaxed, PBE.

Summary:
Formation enthalpy at 0 K (meV per atom): -8
ρ (Mg/m³): 7.93
Energy (eV per formula unit): -21.78

a = 6.309 Å, b = 6.309 Å, c = 6.309 Å
α = 90.00°, β = 90.00°, γ = 90.00°
Space group F-43m (No. 216)
Symmetry-distinct sites (fractional):
Mg (0.000, 0.000, 0.000) (multiplicity 4)
Tc (0.250, 0.250, 0.250) (multiplicity 4)
Ni (0.250, 0.250, 0.750) (multiplicity 4)
Sn (0.000, 0.000, 0.500) (multiplicity 4)

Record 2
ThMgNi4Sn2: relaxed, PBE.

Summary:
Formation enthalpy at 0 K (meV per atom): -370
ρ (Mg/m³): 8.86
Energy (eV per formula unit): -43.11

a = 4.3239 Å, b = 4.3239 Å, c = 25.3035 Å
α = 90.00°, β = 90.00°, γ = 120.00°
Space group R-3m (No. 166, hexagonal axes)
Symmetry-distinct sites (fractional):
Th (0.0000, 0.0000, 0.0000) (multiplicity 3)
Mg (0.0000, 0.0000, 0.5000) (multiplicity 3)
Ni (0.0000, 0.0000, 0.1312) (multiplicity 6)
Ni (0.0000, 0.0000, 0.3985) (multiplicity 6)
Sn (0.0000, 0.0000, 0.2397) (multiplicity 6)

Record 3
ThMgNi5Sn2: relaxed, PBE.

Summary:
Formation enthalpy at 0 K (meV per atom): -131
ρ (Mg/m³): 8.26
Energy (eV per formula unit): -47.11

a = 4.053 Å, b = 4.053 Å, c = 9.631 Å
α = 90.00°, β = 90.00°, γ = 90.00°
Space group P4/mmm (No. 123)
Symmetry-distinct sites (fractional):
Th (0.000, 0.000, 0.000) (multiplicity 1)
Mg (0.000, 0.000, 0.500) (multiplicity 1)
Ni (0.000, 0.500, 0.194) (multiplicity 4)
Ni (0.500, 0.500, 0.000) (multiplicity 1)
Sn (0.500, 0.500, 0.352) (multiplicity 2)

Record 4
Mg2ZnNi4Sn2: relaxed, PBE.

Summary:
Formation enthalpy at 0 K (meV per atom): 47
ρ (Mg/m³): 6.75
Energy (eV per formula unit): -35.17

a = 6.001 Å, b = 6.001 Å, c = 8.010 Å
α = 90.00°, β = 90.00°, γ = 90.00°
Space group I4/mmm (No. 139)
Symmetry-distinct sites (fractional):
Mg (0.000, 0.000, 0.196) (multiplicity 4)
Zn (0.000, 0.000, 0.500) (multiplicity 2)
Ni (0.230, 0.230, 0.000) (multiplicity 8)
Sn (0.000, 0.500, 0.250) (multiplicity 4)